Record 1
DFT (PBE) results for a geometry-optimized As2SeSI structure.

extended XYZ file:
```
5
Lattice="-4.6367 -1.8799 0.5607 1.7370 -3.2657 3.4154 -0.8716 3.1924 3.4957" Properties=species:S:1:pos:R:3 pbc="T T T"
Se -0.4358 1.5962 1.7479
S 0.0000 0.0000 0.0000
As 0.8685 -1.6329 1.7077
As -2.3184 -0.9399 0.2804
I -1.8856 -0.9766 3.7359
```

Summary:
Magnetization in μB/cell: 0.0
N(E_F) in states/eV/cell: 5.3
Distance to the lowest polymorph of the same formula in meV per atom: 0.0
Space group: No. 123


Record 2
DFT (PBE) results for a geometry-optimized As2SeSI structure.

extended XYZ file:
```
5
Lattice="5.4912 0.0000 0.0000 0.0000 5.4912 0.0000 0.0000 0.0000 5.2442" Properties=species:S:1:pos:R:3 pbc="T T T"
As 2.7456 0.0000 0.0000
As 0.0000 2.7456 0.0000
S 2.7456 2.7456 2.6221
I 0.0000 0.0000 0.0000
Se 0.0000 0.0000 2.6221
```

Summary:
Magnetization in μB/cell: 0.0
N(E_F) in states/eV/cell: 5.1
Distance to the lowest polymorph of the same formula in meV per atom: 781.7
Space group: No. 123


Record 3
DFT (PBE) results for a geometry-optimized AsSe2SI structure.

extended XYZ file:
```
5
Lattice="5.3312 0.0000 0.0000 0.0000 5.3312 0.0000 0.0000 0.0000 5.6686" Properties=species:S:1:pos:R:3 pbc="T T T"
S 2.6656 2.6656 2.8343
I 0.0000 0.0000 0.0000
Se 0.0000 2.6656 0.0000
Se 2.6656 0.0000 0.0000
As 0.0000 0.0000 2.8343
```

Summary:
Magnetization in μB/cell: 0.8
N(E_F) in states/eV/cell: 4.7
Distance to the lowest polymorph of the same formula in meV per atom: 711.8
Space group: No. 123


Record 4
DFT (PBE) results for a geometry-optimized SnAsSI2 structure.

extended XYZ file:
```
5
Lattice="5.5461 0.0000 0.0000 0.0000 5.7971 0.0000 0.0000 0.0000 5.5461" Properties=species:S:1:pos:R:3 pbc="T T T"
As 0.0000 0.0000 0.0000
S 2.7730 2.8985 2.7730
I 0.0000 0.0000 2.7730
I 2.7730 0.0000 0.0000
Sn 0.0000 2.8985 0.0000
```

Summary:
Energy in eV/atom: -2.647
Magnetization in μB/cell: 0.9
N(E_F) in states/eV/cell: 2.0
Space group: No. 123


Record 5
DFT (PBE) results for a geometry-optimized Sr6AsS2I3 structure.

extended XYZ file:
```
12
Lattice="7.7341 0.0012 0.0017 -3.8641 6.6997 0.0017 -1.2892 -2.2322 7.7520" Properties=species:S:1:pos:R:3 pbc="T T T"
Sr 2.5697 4.4495 1.5743
Sr -1.2989 2.2518 1.5685
Sr 3.8798 2.2169 6.1868
Sr 2.5996 0.0002 1.5685
Sr -0.0188 4.4684 6.1868
Sr 0.0111 0.0192 6.1810
S 0.0040 4.4657 0.0017
S 3.8660 2.2352 0.0017
I 1.2904 2.2343 3.8777
I -2.5748 4.4666 3.8777
I 5.1556 0.0020 3.8777
As 0.0000 0.0000 0.0000
```

Summary:
Energy in eV/atom: -3.876
Magnetization in μB/cell: 0.0
N(E_F) in states/eV/cell: 4.2
Space group: No. 12


Record 6
DFT (PBE) results for a geometry-optimized TaAs2SI structure.

extended XYZ file:
```
5
Lattice="-3.8977 3.2002 1.1324 0.2308 -1.3041 4.4800 3.3851 3.7938 0.9299" Properties=species:S:1:pos:R:3 pbc="T T T"
As 1.6925 1.8969 0.4650
As -1.9489 1.6001 0.5662
S 0.1154 -0.6521 2.2400
I -0.1409 2.8450 3.2712
Ta 0.0000 0.0000 0.0000
```

Summary:
Energy in eV/atom: -5.272
Magnetization in μB/cell: 0.0
N(E_F) in states/eV/cell: 2.9
Space group: No. 123


Record 7
DFT (PBE) results for a geometry-optimized Te2AsSI structure.

extended XYZ file:
```
5
Lattice="5.5014 0.0000 0.0000 0.0000 5.5014 0.0000 0.0000 0.0000 5.3960" Properties=species:S:1:pos:R:3 pbc="T T T"
S 2.7507 2.7507 2.6980
Te 0.0000 2.7507 0.0000
Te 2.7507 0.0000 0.0000
I 0.0000 0.0000 2.6980
As 0.0000 0.0000 0.0000
```

Summary:
Magnetization in μB/cell: 0.0
N(E_F) in states/eV/cell: 4.8
Distance to the lowest polymorph of the same formula in meV per atom: 52.9
Space group: No. 123


Record 8
DFT (PBE) results for a geometry-optimized Te2AsSI structure.

extended XYZ file:
```
5
Lattice="-1.8281 4.6688 -1.4804 -3.6060 -0.2136 3.7792 3.4964 2.4712 3.4758" Properties=species:S:1:pos:R:3 pbc="T T T"
I 1.7482 1.2356 1.7379
Te -0.9140 2.3344 -0.7402
Te -1.8030 -0.1068 1.8896
As -0.9688 3.4632 2.8873
S 0.0000 0.0000 0.0000
```

Summary:
Magnetization in μB/cell: 0.0
N(E_F) in states/eV/cell: 4.3
Distance to the lowest polymorph of the same formula in meV per atom: 0.0
Space group: No. 123


Record 9
DFT (PBE) results for a geometry-optimized SbAs2I8 structure.

extended XYZ file:
```
11
Lattice="7.8508 -0.6116 -0.4272 0.4259 8.7980 -0.0013 0.4259 3.0265 8.2610" Properties=species:S:1:pos:R:3 pbc="T T T"
I 5.9926 9.8582 6.8862
I 7.0797 5.1405 7.0632
I 5.4886 4.0951 2.8605
I 7.0797 8.4008 2.3958
I 1.6229 2.8121 5.4367
I 3.2140 7.1178 4.9720
I 1.6229 6.0724 0.7693
I 2.7100 1.3547 0.9463
As 5.3957 1.9516 1.3633
As 3.3068 9.2613 6.4692
Sb 0.0000 0.0000 0.0000
```

Summary:
Energy in eV/atom: -2.433
Magnetization in μB/cell: 0.0
N(E_F) in states/eV/cell: 5.8
Space group: No. 12


Record 10
DFT (PBE) results for a geometry-optimized SbAs3I structure.

extended XYZ file:
```
5
Lattice="-2.3970 -2.6260 -4.0016 2.6189 -4.4656 1.3618 -4.0062 -1.3479 3.2844" Properties=species:S:1:pos:R:3 pbc="T T T"
Sb 0.0000 0.0000 0.0000
As -2.0031 -0.6740 1.6422
As 1.3095 -2.2328 0.6809
As -1.1985 -1.3130 -2.0008
I -1.8922 -4.2198 0.3223
```

Summary:
Magnetization in μB/cell: 0.0
N(E_F) in states/eV/cell: 7.5
Distance to the lowest polymorph of the same formula in meV per atom: 0.0
Space group: No. 221


Record 11
DFT (PBE) results for a geometry-optimized Sb2As2I structure.

extended XYZ file:
```
5
Lattice="4.6700 0.0000 0.0000 0.0000 4.6700 0.0000 2.3350 2.3350 6.9238" Properties=species:S:1:pos:R:3 pbc="T T T"
As 4.6700 2.3350 3.4619
As 2.3350 4.6700 3.4619
Sb 2.3350 2.3350 1.8857
Sb 4.6700 4.6700 5.0381
I 0.0000 0.0000 0.0000
```

Summary:
Magnetization in μB/cell: 0.0
N(E_F) in states/eV/cell: 1.2
Distance to the lowest polymorph of the same formula in meV per atom: 0.0
Space group: No. 139


Record 12
DFT (PBE) results for a geometry-optimized SbAsI2 structure.

extended XYZ file:
```
4
Lattice="0.0000 3.8509 3.8509 3.8509 0.0000 3.8509 3.8509 3.8509 0.0000" Properties=species:S:1:pos:R:3 pbc="T T T"
Sb 3.8509 3.8509 3.8509
As 0.0000 0.0000 0.0000
I 1.9255 1.9255 1.9255
I 5.7764 5.7764 5.7764
```

Summary:
Magnetization in μB/cell: 0.0
N(E_F) in states/eV/cell: 3.7
Distance to the lowest polymorph of the same formula in meV per atom: 79.3
Space group: No. 225